Version a
VASP calculation (PBE) on crystalline TbPr6Sm4 at its relaxed geometry.

**Space-group type**: I-42m, No. 121

Cell lengths 6.865, 6.865, 9.710 Å; angles 110.70, 110.70, 90.00 degrees
Atoms (fractional coordinates):
1 Pr 0.000 0.500 0.000
2 Pr 0.868 0.488 0.355
3 Pr 0.488 0.868 0.355
4 Pr 0.500 0.000 0.000
5 Pr 0.132 0.132 0.645
6 Pr 0.512 0.512 0.645
7 Sm 0.943 0.943 0.235
8 Sm 0.057 0.708 0.765
9 Sm 0.708 0.057 0.765
10 Sm 0.292 0.292 0.235
11 Tb 0.500 0.500 0.000

Version b
VASP calculation (PBE) on crystalline TbPr6Sm4 at its relaxed geometry.

**Space-group type**: I-42m, No. 121

Cell lengths 8.687, 8.687, 8.687 Å; angles 77.96, 127.18, 127.18 degrees
Atoms (fractional coordinates):
1 Sm 0.000 0.748 0.410
2 Sm 0.662 0.252 0.252
3 Sm 0.000 0.410 0.748
4 Sm 0.338 0.590 0.590
5 Pr 0.000 0.582 0.040
6 Pr 0.459 0.418 0.418
7 Pr 0.541 0.960 0.960
8 Pr 0.500 0.500 0.000
9 Pr 0.000 0.040 0.582
10 Pr 0.500 0.000 0.500
11 Tb 0.000 0.000 0.000

Stability verdict: version a, ahead by 6.2 kJ/mol of atoms

Version a
VASP calculation (PBE) on crystalline Tb3Pr4Sm2 at its relaxed geometry.

**Space-group type**: C2/m, No. 12

Cell lengths 3.587, 9.920, 8.980 Å; angles 79.91, 101.52, 90.00 degrees
Atoms (fractional coordinates):
1 Tb 0.000 0.000 0.000
2 Tb 0.837 0.545 0.675
3 Tb 0.163 0.455 0.325
4 Pr 0.664 0.780 0.328
5 Pr 0.499 0.669 0.999
6 Pr 0.336 0.220 0.672
7 Pr 0.501 0.331 0.001
8 Sm 0.325 0.880 0.650
9 Sm 0.675 0.120 0.350

Version b
VASP calculation (PBE) on crystalline Tb3Pr4Sm2 at its relaxed geometry.

**Space-group type**: C2/c, No. 15

Cell lengths 6.266, 11.487, 11.487 Å; angles 62.26, 62.25, 62.25 degrees
Atoms (fractional coordinates):
1 Pr 0.080 0.146 0.427
2 Pr 0.582 0.092 0.812
3 Pr 0.920 0.854 0.573
4 Pr 0.082 0.812 0.092
5 Pr 0.418 0.908 0.188
6 Pr 0.420 0.573 0.854
7 Pr 0.918 0.188 0.908
8 Pr 0.580 0.427 0.146
9 Tb 0.250 0.600 0.400
10 Tb 0.744 0.066 0.269
11 Tb 0.244 0.269 0.066
12 Tb 0.756 0.731 0.934
13 Tb 0.256 0.934 0.731
14 Tb 0.750 0.400 0.600
15 Sm 0.417 0.244 0.520
16 Sm 0.083 0.480 0.756
17 Sm 0.917 0.520 0.244
18 Sm 0.583 0.756 0.480

Stability verdict: version a, ahead by 3.1 kJ/mol of atoms

Version a
VASP calculation (PBE) on crystalline Tb3Pr4Sm8 at its relaxed geometry.

**Space-group type**: R-3m, No. 166

Cell lengths 7.061, 7.061, 12.732 Å; angles 73.90, 73.90, 60.00 degrees
Atoms (fractional coordinates):
1 Sm 0.749 0.749 0.254
2 Sm 0.245 0.245 0.264
3 Sm 0.753 0.251 0.746
4 Sm 0.247 0.749 0.254
5 Sm 0.251 0.251 0.746
6 Sm 0.251 0.753 0.746
7 Sm 0.749 0.247 0.254
8 Sm 0.755 0.755 0.736
9 Pr 0.664 0.664 0.009
10 Pr 0.336 0.336 0.991
11 Pr 0.500 0.500 0.500
12 Pr 0.000 0.000 0.000
13 Tb 0.000 0.000 0.500
14 Tb 0.500 0.000 0.500
15 Tb 0.000 0.500 0.500

Version b
VASP calculation (PBE) on crystalline Tb3Pr4Sm8 at its relaxed geometry.

**Space-group type**: C2/m, No. 12

Cell lengths 6.889, 9.423, 9.423 Å; angles 86.81, 111.52, 111.52 degrees
Atoms (fractional coordinates):
1 Sm 0.000 0.357 0.643
2 Sm 0.995 0.273 0.273
3 Sm 0.500 0.744 0.256
4 Sm 0.500 0.256 0.744
5 Sm 0.005 0.727 0.727
6 Sm 0.490 0.736 0.736
7 Sm 0.510 0.264 0.264
8 Sm 0.000 0.643 0.357
9 Tb 0.500 0.000 0.500
10 Tb 0.500 0.500 0.500
11 Tb 0.500 0.500 0.000
12 Pr 0.000 0.000 0.500
13 Pr 0.500 0.000 0.000
14 Pr 0.000 0.500 0.000
15 Pr 0.000 0.000 0.000

Stability verdict: version a, ahead by 21.8 kJ/mol of atoms

Version a
VASP calculation (PBE) on crystalline Tb2Pr5Sm3 at its relaxed geometry.

**Space-group type**: Ibam, No. 72

Cell lengths 11.168, 10.098, 10.098 Å; angles 56.43, 56.43, 56.43 degrees
Atoms (fractional coordinates):
1 Pr 0.998 0.752 0.752
2 Pr 0.250 0.500 0.500
3 Pr 0.502 0.248 0.248
4 Pr 0.002 0.248 0.248
5 Pr 0.498 0.752 0.752
6 Pr 0.372 0.731 0.524
7 Pr 0.128 0.476 0.269
8 Pr 0.750 0.500 0.500
9 Pr 0.628 0.269 0.476
10 Pr 0.872 0.524 0.731
11 Sm 0.750 0.000 0.000
12 Sm 0.876 0.873 0.375
13 Sm 0.124 0.127 0.625
14 Sm 0.250 0.000 0.000
15 Sm 0.624 0.625 0.127
16 Sm 0.376 0.375 0.873
17 Tb 0.622 0.965 0.792
18 Tb 0.378 0.035 0.208
19 Tb 0.878 0.208 0.035
20 Tb 0.122 0.792 0.965

Version b
VASP calculation (PBE) on crystalline Tb2Pr5Sm3 at its relaxed geometry.

**Space-group type**: C2/c, No. 15

Cell lengths 10.193, 10.193, 11.402 Å; angles 129.61, 129.61, 64.76 degrees
Atoms (fractional coordinates):
1 Pr 0.978 0.228 0.456
2 Pr 0.728 0.478 0.956
3 Pr 0.481 0.731 0.462
4 Pr 0.623 0.875 0.246
5 Pr 0.124 0.372 0.246
6 Pr 0.377 0.125 0.754
7 Pr 0.022 0.772 0.544
8 Pr 0.272 0.522 0.044
9 Pr 0.876 0.628 0.754
10 Pr 0.519 0.269 0.538
11 Tb 0.472 0.723 0.754
12 Tb 0.782 0.031 0.754
13 Tb 0.218 0.969 0.246
14 Tb 0.528 0.277 0.246
15 Sm 0.972 0.221 0.750
16 Sm 0.770 0.020 0.040
17 Sm 0.028 0.779 0.250
18 Sm 0.278 0.529 0.750
19 Sm 0.722 0.471 0.250
20 Sm 0.230 0.980 0.960

Stability verdict: version b, ahead by 17.4 kJ/mol of atoms

Version a
VASP calculation (PBE) on crystalline Tb8Pr4Sm3 at its relaxed geometry.

**Space-group type**: R-3m, No. 166

Cell lengths 7.032, 7.032, 12.646 Å; angles 73.86, 73.86, 60.00 degrees
Atoms (fractional coordinates):
1 Tb 0.750 0.248 0.252
2 Tb 0.755 0.755 0.736
3 Tb 0.248 0.750 0.252
4 Tb 0.250 0.752 0.748
5 Tb 0.250 0.250 0.748
6 Tb 0.752 0.250 0.748
7 Tb 0.750 0.750 0.252
8 Tb 0.245 0.245 0.264
9 Pr 0.500 0.500 0.500
10 Pr 0.000 0.000 0.000
11 Pr 0.337 0.337 0.990
12 Pr 0.663 0.663 0.010
13 Sm 0.000 0.000 0.500
14 Sm 0.000 0.500 0.500
15 Sm 0.500 0.000 0.500

Version b
VASP calculation (PBE) on crystalline Tb8Pr4Sm3 at its relaxed geometry.

**Space-group type**: C2/m, No. 12

Cell lengths 6.848, 9.373, 9.373 Å; angles 87.12, 111.50, 111.50 degrees
Atoms (fractional coordinates):
1 Tb 0.524 0.268 0.268
2 Tb 0.000 0.640 0.360
3 Tb 0.996 0.729 0.729
4 Tb 0.500 0.743 0.257
5 Tb 0.476 0.732 0.732
6 Tb 0.004 0.271 0.271
7 Tb 0.000 0.360 0.640
8 Tb 0.500 0.257 0.743
9 Sm 0.500 0.000 0.500
10 Sm 0.500 0.500 0.500
11 Sm 0.500 0.500 0.000
12 Pr 0.000 0.500 0.000
13 Pr 0.000 0.000 0.500
14 Pr 0.000 0.000 0.000
15 Pr 0.500 0.000 0.000

Stability verdict: version a, ahead by 22.0 kJ/mol of atoms

Version a
VASP calculation (PBE) on crystalline Tb12Pr2Sm5 at its relaxed geometry.

**Space-group type**: P-1, No. 2

Cell lengths 6.789, 14.236, 14.110 Å; angles 150.85, 84.13, 102.82 degrees
Atoms (fractional coordinates):
1 Sm 0.609 0.223 0.628
2 Sm 0.000 0.000 0.500
3 Sm 0.733 0.420 0.439
4 Sm 0.267 0.580 0.561
5 Sm 0.391 0.777 0.372
6 Tb 0.965 0.154 0.364
7 Tb 0.412 0.991 0.220
8 Tb 0.433 0.512 0.720
9 Tb 0.567 0.488 0.280
10 Tb 0.669 0.716 0.104
11 Tb 0.030 0.346 0.157
12 Tb 0.970 0.654 0.843
13 Tb 0.035 0.846 0.636
14 Tb 0.588 0.009 0.780
15 Tb 0.331 0.284 0.896
16 Tb 0.153 0.557 0.962
17 Tb 0.847 0.443 0.038
18 Pr 0.731 0.922 0.939
19 Pr 0.269 0.078 0.061

Version b
VASP calculation (PBE) on crystalline Tb12Pr2Sm5 at its relaxed geometry.

**Space-group type**: C2/m, No. 12

Cell lengths 9.096, 10.439, 9.650 Å; angles 124.31, 90.00, 115.83 degrees
Atoms (fractional coordinates):
1 Tb 0.506 0.012 0.674
2 Tb 0.714 0.781 0.105
3 Tb 0.885 0.368 0.652
4 Tb 0.105 0.210 0.243
5 Tb 0.494 0.988 0.326
6 Tb 0.067 0.781 0.105
7 Tb 0.517 0.632 0.348
8 Tb 0.483 0.368 0.652
9 Tb 0.895 0.790 0.757
10 Tb 0.933 0.219 0.895
11 Tb 0.115 0.632 0.348
12 Tb 0.286 0.219 0.895
13 Pr 0.326 0.000 0.000
14 Pr 0.674 0.000 0.000
15 Sm 0.288 0.576 0.968
16 Sm 0.313 0.627 0.650
17 Sm 0.000 0.000 0.500
18 Sm 0.687 0.373 0.350
19 Sm 0.712 0.424 0.032

Stability verdict: version a, ahead by 11.0 kJ/mol of atoms